i) Density functional theory data (PBE-GGA) for a relaxed BeSi3Bi crystal.

Summary:
M_tot: 0.0 μB/f.u.

Unit cell a=5.401 b=5.401 c=5.401 alpha=90.00 beta=90.00 gamma=90.00
Fractional coordinates of all 5 atoms:
Be  0.000  0.000  0.000
Si  0.000  0.500  0.500
Si  0.500  0.000  0.500
Si  0.500  0.500  0.000
Bi  0.500  0.500  0.500

ii) Density functional theory data (PBE-GGA) for a relaxed BeSi3Bi crystal.

Summary:
M_tot: 0.0 μB/f.u.

Unit cell a=4.515 b=4.515 c=4.515 alpha=90.00 beta=90.00 gamma=90.00
Fractional coordinates of all 5 atoms:
Be  0.000  0.000  0.000
Si  0.000  0.000  0.500
Si  0.000  0.500  0.000
Si  0.500  0.000  0.000
Bi  0.500  0.500  0.500

In order of decreasing stability: ii), i).